A geometry-optimized SeN2F2 structure. Source: Alexandria via LeMat-Bulk, functional PBE.

It has space group P4/mmm (No. 123), with a = 3.587 Å, b = 3.587 Å, c = 4.212 Å, α = 90.00°, β = 90.00° and γ = 90.00°. The inequivalent atoms are Se at (0.000, 0.000, 0.000), N at (0.500, 0.500, 0.000), N at (0.500, 0.500, 0.500) and F at (0.000, 0.500, 0.500).

Its crystal system is tetragonal. For the total moment, the calculation gives 0.25 μB/atom. As for the distance to the lowest polymorph of the same formula: 336 meV/atom.